No. 1
DFT (PBE-GGA) results for a relaxed CaPmAuO4 crystal.

## Properties
The value obtained for the density of states at the Fermi level is 0.3814 states/eV/atom. As for the formation energy without anion corrections: -1763 meV/atom. The crystal system is orthorhombic.

a = 5.942 Å, b = 10.907 Å, c = 6.840 Å
α = 90.00°, β = 90.00°, γ = 90.00°
Space group Cmcm (No. 63)
One atom of each set of equivalent atoms:
1 Ca 0.000 0.000 0.000
2 Pm 0.000 0.327 0.250
3 Au 0.000 0.354 0.750
4 O 0.000 0.215 0.533
5 O 0.231 0.494 0.250

=====

No. 2
DFT (PBE-GGA) results for a relaxed CaPm2AuO5 crystal.

## Properties
As for the formation energy without anion corrections: -2299 meV/atom. The crystal system is tetragonal.

a = 6.677 Å, b = 6.677 Å, c = 6.106 Å
α = 90.00°, β = 90.00°, γ = 90.00°
Space group P4/mbm (No. 127)
One atom of each set of equivalent atoms:
1 Ca 0.000 0.000 0.000
2 Pm 0.171 0.329 0.500
3 Au 0.000 0.500 0.000
4 O 0.000 0.000 0.500
5 O 0.152 0.652 0.255

=====

No. 3
DFT (PBE-GGA) results for a relaxed Ca2PuAuO6 crystal.

## Properties
The value obtained for the density of states at the Fermi level is 0.6527 states/eV/atom. As for the formation energy without anion corrections: -2269 meV/atom. The crystal system is monoclinic.

a = 11.169 Å, b = 5.677 Å, c = 5.397 Å
α = 90.00°, β = 117.10°, γ = 90.00°
Space group C2/m (No. 12)
One atom of each set of equivalent atoms:
1 Ca 0.248 0.000 0.190
2 Pu 0.000 0.000 0.500
3 Au 0.000 0.500 0.000
4 O 0.090 0.260 0.857
5 O 0.179 0.000 0.529

=====

No. 4
DFT (PBE-GGA) results for a relaxed CaPuAuO6 crystal.

## Properties
The value obtained for the density of states at the Fermi level is 0.1948 states/eV/atom. As for the formation energy without anion corrections: -1734 meV/atom. The crystal system is trigonal.

a = 5.4590 Å, b = 5.4590 Å, c = 10.3013 Å
α = 90.00°, β = 90.00°, γ = 120.00°
Space group P-31c (No. 163)
One atom of each set of equivalent atoms:
1 Ca 0.0000 0.0000 0.0000
2 Pu 0.3333 0.6667 0.2500
3 Au 0.3333 0.6667 0.7500
4 O 0.0220 0.3625 0.1382